# RbInGa3

A relaxed RbInGa3 crystal (PBE-GGA, Alexandria via LeMat-Bulk).

Distance to the lowest polymorph of the same formula, kJ/mol of atoms: 76.7
VASP energy, eV per cell: -7.4

a b c (Å): 5.9614 5.9614 5.9614
angles (deg): 90.00 90.00 90.00
Fractional coordinates of all 5 atoms:
1 Rb 0.0000 0.0000 0.0000
2 In 0.5000 0.5000 0.5000
3 Ga 0.0000 0.0000 0.5000
4 Ga 0.0000 0.5000 0.0000
5 Ga 0.5000 0.0000 0.0000